[1]
This record from Alexandria via LeMat-Bulk describes crystalline Ti2NbPb at its relaxed geometry. The functional is PBE.

As for the total magnetic moment: 0.015 μB/cell. As for the symmetry: R-3m. The formation energy is 0.1604 eV/atom.

Unit cell a=9.207 b=9.207 c=9.207 alpha=20.06 beta=20.06 gamma=20.06
Element x y z (fractional)
Ti (0.242, 0.242, 0.242)
Ti (0.758, 0.758, 0.758)
Nb (0.500, 0.500, 0.500)
Pb (0.000, 0.000, 0.000)



[2]
This record from Alexandria via LeMat-Bulk describes crystalline IrWCl at its relaxed geometry. The functional is PBE.

As for the total magnetic moment: 0.000 μB/cell. The value obtained for the formation energy from raw total energies is 0.430 eV/atom. As for the symmetry: Fmm2.

Unit cell a=7.871 b=7.581 c=2.916 alpha=84.78 beta=73.56 gamma=21.65
Element x y z (fractional)
Ir (0.000, 0.000, 0.000)
W (0.355, 0.355, 0.645)
Cl (0.718, 0.718, 0.282)



[3]
This record from Alexandria via LeMat-Bulk describes crystalline Sr2TcAs at its relaxed geometry. The functional is PBE.

As for the total magnetic moment: 0.290 μB/cell. As for the symmetry: R3m. The formation energy is -0.2362 eV/atom.

Unit cell a=8.603 b=8.603 c=8.603 alpha=28.81 beta=28.81 gamma=28.81
Element x y z (fractional)
Sr (0.000, 0.000, 0.000)
Sr (0.174, 0.174, 0.174)
Tc (0.754, 0.754, 0.754)
As (0.420, 0.420, 0.420)



Quick rundown of E_tot, same order as above: -28.93 -22.37 -19.32 eV for the cell shown